Entry from Alexandria via LeMat-Bulk: crystalline Ac4GeSbBr2 at its relaxed geometry (PBE).

Unit cell a=7.808 b=4.670 c=8.276 alpha=90.00 beta=109.91 gamma=90.00
Space group P2/m (No. 10)
Symmetry-distinct sites (fractional):
Ac 0.226 0.000 0.225 (multiplicity 2)
Ac 0.235 0.500 0.764 (multiplicity 2)
Ge 0.000 0.500 0.000 (multiplicity 1)
Sb 0.000 0.000 0.500 (multiplicity 1)
Br 0.500 0.000 0.000 (multiplicity 1)
Br 0.500 0.500 0.500 (multiplicity 1)

Computed properties:
The calculation puts the formation energy without anion corrections at -1.19 eV/atom.

Entry from Alexandria via LeMat-Bulk: crystalline LaPr3Au at its relaxed geometry (PBE).

Unit cell a=6.999 b=5.369 c=8.879 alpha=90.00 beta=90.06 gamma=90.00
Space group P2_1/m (No. 11)
Symmetry-distinct sites (fractional):
La 0.079 0.250 0.250 (multiplicity 2)
Pr 0.228 0.250 0.750 (multiplicity 2)
Pr 0.299 0.750 0.049 (multiplicity 2)
Pr 0.299 0.750 0.451 (multiplicity 2)
Au 0.493 0.750 0.750 (multiplicity 2)

Computed properties:
The calculation puts the formation energy at -220 meV per atom.

Entry from Alexandria via LeMat-Bulk: crystalline SrLaGa at its relaxed geometry (PBE).

Unit cell a=11.628 b=4.938 c=7.716 alpha=90.00 beta=116.21 gamma=90.00
Space group Cm (No. 8)
Symmetry-distinct sites (fractional):
Sr 0.000 0.000 0.000 (multiplicity 2)
Sr 0.143 0.500 0.786 (multiplicity 2)
La 0.250 0.000 0.496 (multiplicity 2)
La 0.385 0.500 0.363 (multiplicity 2)
Ga 0.067 0.500 0.323 (multiplicity 2)
Ga 0.314 0.000 0.078 (multiplicity 2)

Computed properties:
The value obtained for the energy above the most stable polymorph in this dataset is 0.103 eV/atom. The calculation puts the formation energy at -267 meV per atom.

Entry from Alexandria via LeMat-Bulk: crystalline K3MnTl3Br8 at its relaxed geometry (PBE).

Unit cell a=9.3383 b=9.3383 c=23.0882 alpha=90.00 beta=90.00 gamma=120.00
Space group R-3m (No. 166, hexagonal axes)
Symmetry-distinct sites (fractional):
K 0.0000 0.5000 0.0000 (multiplicity 9)
Mn 0.0000 0.0000 0.0000 (multiplicity 3)
Tl 0.0000 0.5000 0.5000 (multiplicity 9)
Br 0.0000 0.0000 0.2524 (multiplicity 6)
Br 0.0555 0.5277 0.7352 (multiplicity 18)

Computed properties:
The calculation puts the formation energy without anion corrections at -1.20 eV/atom.